A plane-wave DFT calculation with PBE was carried out for a relaxed structure of SiBi2AsCl.

Cell: 5.5548 4.6928 5.5548 Å, 90.00 90.00 90.00°
Atoms (fractional coordinates):
Bi  0.0000  0.0000  0.5000
Bi  0.5000  0.0000  0.0000
Si  0.0000  0.5000  0.0000
Cl  0.0000  0.0000  0.0000
As  0.5000  0.5000  0.5000

## Properties
Formation energy from raw total energies in eV/atom: 0.96
Volume in Å³/atom: 28.960
Calculated density in g cm⁻³: 6.38
VASP energy in eV per atom: -2.981
E above lowest polymorph in meV per atom: 525



A plane-wave DFT calculation with PBE was carried out for a relaxed structure of Co3TeH.

Cell: 4.7814 4.7814 4.7814 Å, 90.00 90.00 90.00°
Last column: magnetic moment on the atom in μB.
Atoms (fractional coordinates):
Te  0.0000  0.0000  0.0000  0.01
Co  0.0000  0.0000  0.5000  1.55
Co  0.0000  0.5000  0.0000  1.83
Co  0.5000  0.0000  0.0000  2.13
H  0.5000  0.5000  0.5000  0.24

## Properties
Volume in Å³/atom: 21.863
Calculated density in g cm⁻³: 4.64
VASP energy in eV per atom: -3.986
E above lowest polymorph in meV per atom: 1458